Entry 1:
This record from Alexandria describes a relaxed SnTe2N crystal. The functional is PBE.

Results
The value obtained for the uncorrected formation energy is 0.760 eV/atom. The magnetic moment is 0.00 μB/cell. The calculated density comes out at 6.07 g/cm3. The polymorph energy (0 for the lowest one) comes out at 451.5 meV per atom.

Cell and atoms, written as CIF:
```
data_SnTe2N
_chemical_formula_sum 'Sn3 Te6 N3'
_cell_length_a 3.7017
_cell_length_b 3.7017
_cell_length_c 26.8239
_cell_angle_alpha 90.00
_cell_angle_beta 90.00
_cell_angle_gamma 120.00
_symmetry_space_group_name_H-M 'R -3 m'
_symmetry_Int_Tables_number 166
_symmetry_space_group_name_Hall '-R 3 2"'
loop_
_atom_site_label
_atom_site_type_symbol
_atom_site_fract_x
_atom_site_fract_y
_atom_site_fract_z
Sn1 Sn 0.0000 0.0000 0.0000
Te1 Te 0.0000 0.0000 0.4274
N1 N 0.0000 0.0000 0.5000
```

Entry 2:
This record from Alexandria describes a relaxed SnTeN crystal. The functional is PBE.

Results
The value obtained for the uncorrected formation energy is 0.390 eV/atom. The magnetic moment is 0.00 μB/cell. The calculated density comes out at 6.68 g/cm3. The polymorph energy (0 for the lowest one) comes out at 541.6 meV per atom.

Cell and atoms, written as CIF:
```
data_SnTeN
_chemical_formula_sum 'Sn4 Te4 N4'
_cell_length_a 6.058
_cell_length_b 3.509
_cell_length_c 12.177
_cell_angle_alpha 90.00
_cell_angle_beta 90.17
_cell_angle_gamma 90.00
_symmetry_space_group_name_H-M 'C 1 m 1'
_symmetry_Int_Tables_number 8
loop_
_symmetry_equiv_pos_as_xyz
'x,y,z'
'x,-y,z'
'x+1/2,y+1/2,z'
'x+1/2,-y+1/2,z'
loop_
_atom_site_label
_atom_site_type_symbol
_atom_site_fract_x
_atom_site_fract_y
_atom_site_fract_z
Sn1 Sn 0.000 0.000 0.000
Sn2 Sn 0.160 0.500 0.255
Te1 Te 0.164 0.500 0.737
Te2 Te 0.326 0.000 0.517
N1 N 0.166 0.500 0.912
N2 N 0.327 0.000 0.343
```

Entry 3:
This record from Alexandria describes a relaxed SnTe3N crystal. The functional is PBE.

Results
The value obtained for the uncorrected formation energy is 1.844 eV/atom. The magnetic moment is 0.00 μB/cell. The calculated density comes out at 4.75 g/cm3. The polymorph energy (0 for the lowest one) comes out at 1293.9 meV per atom.

Cell and atoms, written as CIF:
```
data_SnTe3N
_chemical_formula_sum 'Sn1 Te3 N1'
_cell_length_a 5.650
_cell_length_b 5.650
_cell_length_c 5.650
_cell_angle_alpha 90.00
_cell_angle_beta 90.00
_cell_angle_gamma 90.00
_symmetry_space_group_name_H-M 'P m -3 m'
_symmetry_Int_Tables_number 221
_symmetry_space_group_name_Hall '-P 4 2 3'
loop_
_atom_site_label
_atom_site_type_symbol
_atom_site_fract_x
_atom_site_fract_y
_atom_site_fract_z
Sn1 Sn 0.000 0.000 0.000
Te1 Te 0.000 0.000 0.500
N1 N 0.500 0.500 0.500
```